# 1
Material: Tb4Pm3Ho
Method: DFT, GGA-PBE
State: relaxed

Lattice parameters (Å, degrees): 11.4786 7.3158 6.3167 90.00 90.00 90.00
Last column: nearest neighbours and their distance in Å.
Space group Pmn2_1 (No. 31)
Asymmetric unit:
1 Tb 0.0000 0.1227 0.0000  6 Tb 3.54-3.64, 4 Pm 3.57-3.68, 2 Ho 3.64-3.65
2 Tb 0.0000 0.8759 0.5012  6 Tb 3.54-3.64, 4 Pm 3.57-3.65, 2 Ho 3.63-3.69
3 Tb 0.2483 0.1236 0.3336  1 Ho 3.54, 6 Tb 3.54-3.64, 5 Pm 3.58-3.67
4 Pm 0.0000 0.6264 0.0002  4 Pm 3.56-3.57, 6 Tb 3.58-3.68, 2 Ho 3.66-3.67
5 Pm 0.2499 0.3744 0.8334  4 Pm 3.56-3.65, 2 Ho 3.56-3.57, 6 Tb 3.57-3.67
6 Ho 0.0000 0.3722 0.4994  6 Tb 3.54-3.69, 6 Pm 3.56-3.67

Computed properties:
M_tot ... 0.00 Bohr magnetons per cell
Excess energy over the best structure of this formula in the dataset ... 0 meV per atom
Mass density ... 7.7 g cm⁻³
ΔH_f (0 K) ... 0.021 eV/atom

# 2
Material: LaEu2Cu
Method: DFT, GGA-PBE
State: relaxed

Lattice parameters (Å, degrees): 3.7379 3.7379 33.7451 90.00 90.00 120.00
Last column: nearest neighbours and their distance in Å.
Space group R-3m (No. 166, hexagonal axes)
Asymmetric unit:
1 La 0.0000 0.0000 0.0000  2 Eu 3.58, 6 La 3.74
2 Eu 0.0000 0.0000 0.1061  3 Cu 2.97
3 Cu 0.0000 0.0000 0.5000  6 Eu 2.97

Computed properties:
M_tot ... 45.55 Bohr magnetons per cell
Excess energy over the best structure of this formula in the dataset ... 198 meV per atom
Mass density ... 6.2 g cm⁻³
ΔH_f (0 K) ... 0.202 eV/atom

# 3
Material: PrGd2Rh
Method: DFT, GGA-PBE
State: relaxed

Lattice parameters (Å, degrees): 3.5478 3.5478 8.8050 90.00 90.00 90.00
Last column: nearest neighbours and their distance in Å.
Space group P4/mmm (No. 123)
Asymmetric unit:
1 Pr 0.0000 0.0000 0.0000  4 Pr 3.55, 8 Gd 3.73
2 Gd 0.5000 0.5000 0.3139  4 Rh 3.00, 1 Gd 3.28
3 Rh 0.0000 0.0000 0.5000  8 Gd 3.00

Computed properties:
M_tot ... 14.30 Bohr magnetons per cell
Excess energy over the best structure of this formula in the dataset ... 0 meV per atom
Mass density ... 8.4 g cm⁻³
ΔH_f (0 K) ... -0.382 eV/atom

# 4
Material: Ac4Zn2Ge5
Method: DFT, GGA-PBE
State: relaxed

Lattice parameters (Å, degrees): 7.5164 4.5982 8.5993 90.00 92.78 90.00
Last column: nearest neighbours and their distance in Å.
Space group P2/m (No. 10)
Asymmetric unit:
1 Ac 0.2263 0.0000 0.3544  6 Ge 3.28-3.53, 4 Zn 3.50-3.52
2 Ac 0.2660 0.0000 0.8654  8 Ge 3.29-3.41, 2 Zn 3.37
3 Zn 0.4196 0.5000 0.6182  1 Zn 2.41, 2 Ge 2.53-2.57
4 Ge 0.0000 0.5000 0.0000  4 Ge 3.12-3.24, 4 Ac 3.29
5 Ge 0.0841 0.5000 0.6346  1 Zn 2.53, 1 Ge 2.58
6 Ge 0.3987 0.5000 0.1204  1 Zn 2.57, 1 Ge 2.63

Computed properties:
M_tot ... 0.00 Bohr magnetons per cell
Mass density ... 7.8 g cm⁻³
ΔH_f (0 K) ... -0.602 eV/atom